A relaxed Tb4CdAu5 crystal. Source: Alexandria via LeMat-Bulk, functional PBE.

## Properties
* electronic total energy: -4.332 eV/atom
* ρ: 12.6 g cm⁻³
* spin magnetization: 0.00 μB per cell
* space group: P4/mmm (123)

Cell: 3.583 3.583 17.847 Å, 90.00 90.00 90.00°
Element x y z (fractional)
Tb1 0.000 0.000 0.189
Tb2 0.000 0.000 0.397
Tb3 0.000 0.000 0.603
Tb4 0.000 0.000 0.811
Cd1 0.000 0.000 0.000
Au1 0.500 0.500 0.096
Au2 0.500 0.500 0.296
Au3 0.500 0.500 0.500
Au4 0.500 0.500 0.704
Au5 0.500 0.500 0.904

---

A relaxed Tb4Cd3Au crystal. Source: Alexandria via LeMat-Bulk, functional PBE.

## Properties
* electronic total energy: -3.523 eV/atom
* ρ: 9.4 g cm⁻³
* spin magnetization: 0.00 μB per cell
* space group: P4/mmm (123)

Cell: 3.710 3.710 14.960 Å, 90.00 90.00 90.00°
Element x y z (fractional)
Au1 0.500 0.500 0.000
Tb1 0.000 0.000 0.885
Tb2 0.000 0.000 0.115
Tb3 0.000 0.000 0.372
Tb4 0.000 0.000 0.628
Cd1 0.500 0.500 0.247
Cd2 0.500 0.500 0.500
Cd3 0.500 0.500 0.753

---

A relaxed TbCd9Au2 crystal. Source: Alexandria via LeMat-Bulk, functional PBE.

## Properties
* electronic total energy: -1.784 eV/atom
* ρ: 9.8 g cm⁻³
* spin magnetization: 0.00 μB per cell
* space group: I4_1/amd (141)

Cell: 7.536 9.196 9.196 Å, 80.34 65.81 65.81°
Element x y z (fractional)
Tb1 0.500 0.000 0.000
Tb2 0.250 0.500 0.500
Cd1 0.750 0.500 0.500
Cd2 0.000 0.000 0.000
Cd3 0.996 0.922 0.681
Cd4 0.599 0.078 0.319
Cd5 0.667 0.181 0.578
Cd6 0.427 0.819 0.422
Cd7 0.754 0.819 0.578
Cd8 0.151 0.181 0.422
Cd9 0.083 0.922 0.319
Cd10 0.323 0.078 0.681
Cd11 0.754 0.578 0.819
Cd12 0.151 0.422 0.181
Cd13 0.083 0.319 0.922
Cd14 0.323 0.681 0.078
Cd15 0.996 0.681 0.922
Cd16 0.599 0.319 0.078
Cd17 0.667 0.578 0.181
Cd18 0.427 0.422 0.819
Au1 0.875 0.250 0.750
Au2 0.875 0.750 0.250
Au3 0.875 0.250 0.250
Au4 0.375 0.750 0.750

---

A relaxed Tb4CdAu2 crystal. Source: Alexandria via LeMat-Bulk, functional PBE.

## Properties
* energy above the most stable polymorph in this dataset: 0.000 eV per formula unit
* ρ: 10.2 g cm⁻³
* spin magnetization: 0.00 μB per cell
* space group: R-3m (166)

Cell: 5.117 5.117 8.738 Å, 72.97 72.97 60.00°
Element x y z (fractional)
Au1 0.749 0.749 0.754
Au2 0.251 0.251 0.246
Tb1 0.870 0.870 0.389
Tb2 0.130 0.130 0.611
Tb3 0.618 0.618 0.145
Tb4 0.382 0.382 0.855
Cd1 0.000 0.000 0.000

---

A relaxed Tb4CdAu crystal. Source: Alexandria via LeMat-Bulk, functional PBE.

## Properties
* energy above the most stable polymorph in this dataset: 0.000 eV per formula unit
* ρ: 9.4 g cm⁻³
* spin magnetization: 0.00 μB per cell
* space group: F-43m (216)

Cell: 9.826 9.826 9.826 Å, 60.00 60.00 60.00°
Element x y z (fractional)
Tb1 0.392 0.392 0.392
Tb2 0.825 0.392 0.392
Tb3 0.392 0.825 0.392
Tb4 0.392 0.392 0.825
Tb5 0.561 0.561 0.939
Tb6 0.939 0.939 0.561
Tb7 0.561 0.939 0.561
Tb8 0.939 0.561 0.939
Tb9 0.939 0.561 0.561
Tb10 0.561 0.939 0.939
Tb11 0.184 0.184 0.816
Tb12 0.816 0.816 0.184
Tb13 0.184 0.816 0.184
Tb14 0.816 0.184 0.816
Tb15 0.816 0.184 0.184
Tb16 0.184 0.816 0.816
Cd1 0.168 0.168 0.168
Cd2 0.497 0.168 0.168
Cd3 0.168 0.497 0.168
Cd4 0.168 0.168 0.497
Au1 0.604 0.604 0.604
Au2 0.189 0.604 0.604
Au3 0.604 0.189 0.604
Au4 0.604 0.604 0.189

---

A relaxed TbCd2Au2 crystal. Source: Alexandria via LeMat-Bulk, functional PBE.

## Properties
* energy above the most stable polymorph in this dataset: 0.279 eV per formula unit
* ρ: 11.6 g cm⁻³
* spin magnetization: 0.00 μB per cell
* space group: P2_1/m (11)

Cell: 3.484 4.879 13.042 Å, 90.64 90.00 90.00°
Element x y z (fractional)
Tb1 0.250 0.743 0.251
Tb2 0.750 0.257 0.749
Cd1 0.250 0.762 0.864
Cd2 0.750 0.238 0.136
Cd3 0.250 0.250 0.528
Cd4 0.750 0.750 0.472
Au1 0.250 0.754 0.653
Au2 0.750 0.246 0.347
Au3 0.250 0.263 0.953
Au4 0.750 0.737 0.047

---

A relaxed Tb2CdAu6 crystal. Source: Alexandria via LeMat-Bulk, functional PBE.

## Properties
* energy above the most stable polymorph in this dataset: 0.000 eV per formula unit
* ρ: 14.3 g cm⁻³
* spin magnetization: 0.00 μB per cell
* space group: C2/m (12)

Cell: 5.234 9.134 9.134 Å, 120.68 90.14 90.14°
Element x y z (fractional)
Tb1 0.500 0.660 0.840
Tb2 0.000 0.160 0.340
Tb3 0.500 0.340 0.160
Tb4 0.000 0.840 0.660
Cd1 0.250 0.250 0.750
Cd2 0.750 0.750 0.250
Au1 0.501 0.666 0.507
Au2 0.999 0.493 0.334
Au3 0.499 0.334 0.493
Au4 0.001 0.507 0.666
Au5 0.259 0.910 0.410
Au6 0.241 0.590 0.090
Au7 0.741 0.090 0.590
Au8 0.759 0.410 0.910
Au9 0.999 0.834 0.993
Au10 0.501 0.007 0.166
Au11 0.001 0.166 0.007
Au12 0.499 0.993 0.834

---

A relaxed TbCd6Au12 crystal. Source: Alexandria via LeMat-Bulk, functional PBE.

## Properties
* electronic total energy: -2.756 eV/atom
* ρ: 13.1 g cm⁻³
* spin magnetization: 0.00 μB per cell
* space group: R-3m (166)

Cell: 7.765 7.765 7.765 Å, 105.31 105.31 105.31°
Element x y z (fractional)
Tb1 0.000 0.000 0.000
Cd1 0.692 0.300 0.300
Cd2 0.300 0.300 0.692
Cd3 0.300 0.692 0.300
Cd4 0.700 0.700 0.308
Cd5 0.308 0.700 0.700
Cd6 0.700 0.308 0.700
Au1 0.887 0.113 0.500
Au2 0.904 0.661 0.661
Au3 0.661 0.661 0.904
Au4 0.339 0.096 0.339
Au5 0.339 0.339 0.096
Au6 0.096 0.339 0.339
Au7 0.113 0.500 0.887
Au8 0.500 0.887 0.113
Au9 0.113 0.887 0.500
Au10 0.887 0.500 0.113
Au11 0.500 0.113 0.887
Au12 0.661 0.904 0.661

---

A relaxed TbCdAu3 crystal. Source: Alexandria via LeMat-Bulk, functional PBE.

## Properties
* electronic total energy: -3.524 eV/atom
* ρ: 12.5 g cm⁻³
* spin magnetization: 0.00 μB per cell
* space group: C2/m (12)

Cell: 5.010 5.064 9.688 Å, 105.15 105.11 90.00°
Element x y z (fractional)
Tb1 0.134 0.383 0.765
Tb2 0.866 0.617 0.235
Cd1 0.374 0.124 0.247
Cd2 0.626 0.876 0.753
Au1 0.785 0.035 0.070
Au2 0.215 0.965 0.930
Au3 0.452 0.704 0.407
Au4 0.548 0.296 0.593
Au5 0.039 0.790 0.581
Au6 0.961 0.210 0.419

---

A relaxed TbCd2Au6 crystal. Source: Alexandria via LeMat-Bulk, functional PBE.

## Properties
* energy above the most stable polymorph in this dataset: 0.264 eV per formula unit
* ρ: 13.7 g cm⁻³
* spin magnetization: 0.00 μB per cell
* space group: Immm (71)

Cell: 3.447 8.281 8.281 Å, 55.59 77.99 77.99°
Element x y z (fractional)
Tb1 0.500 0.500 0.500
Cd1 0.355 0.145 0.145
Cd2 0.645 0.855 0.855
Au1 0.176 0.503 0.144
Au2 0.824 0.497 0.856
Au3 0.824 0.856 0.497
Au4 0.000 0.181 0.819
Au5 0.000 0.819 0.181
Au6 0.176 0.144 0.503

---

A relaxed TbCd3Au crystal. Source: Alexandria via LeMat-Bulk, functional PBE.

## Properties
* electronic total energy: -2.449 eV/atom
* ρ: 9.7 g cm⁻³
* spin magnetization: 0.00 μB per cell
* space group: Pnma (62)

Cell: 3.987 9.458 12.539 Å, 90.00 90.00 90.00°
Element x y z (fractional)
Tb1 0.750 0.822 0.994
Tb2 0.250 0.678 0.494
Tb3 0.750 0.322 0.506
Tb4 0.250 0.178 0.006
Cd1 0.250 0.564 0.091
Cd2 0.750 0.436 0.909
Cd3 0.250 0.064 0.409
Cd4 0.750 0.936 0.591
Cd5 0.250 0.429 0.705
Cd6 0.750 0.071 0.205
Cd7 0.250 0.929 0.795
Cd8 0.750 0.664 0.701
Cd9 0.250 0.336 0.299
Cd10 0.750 0.164 0.799
Cd11 0.750 0.571 0.295
Cd12 0.250 0.836 0.201
Au1 0.250 0.151 0.629
Au2 0.250 0.651 0.871
Au3 0.750 0.349 0.129
Au4 0.750 0.849 0.371

---

A relaxed Tb2Cd3Au3 crystal. Source: Alexandria via LeMat-Bulk, functional PBE.

## Properties
* electronic total energy: -3.305 eV/atom
* ρ: 11.9 g cm⁻³
* spin magnetization: 0.00 μB per cell
* space group: R3m (160)

Cell: 4.987 4.987 8.596 Å, 73.14 73.14 60.00°
Element x y z (fractional)
Tb1 0.005 0.005 0.984
Tb2 0.495 0.495 0.515
Cd1 0.248 0.248 0.256
Cd2 0.752 0.752 0.745
Cd3 0.623 0.623 0.130
Au1 0.128 0.128 0.617
Au2 0.879 0.879 0.363
Au3 0.370 0.370 0.890

---

A relaxed TbCd6Au crystal. Source: Alexandria via LeMat-Bulk, functional PBE.

## Properties
* electronic total energy: -1.859 eV/atom
* ρ: 9.3 g cm⁻³
* spin magnetization: 0.00 μB per cell
* space group: Amm2 (38)

Cell: 4.852 5.933 7.065 Å, 114.83 90.00 90.00°
Element x y z (fractional)
Tb1 0.500 0.698 0.397
Cd1 0.500 0.673 0.863
Cd2 0.500 0.191 0.863
Cd3 0.000 0.822 0.158
Cd4 0.000 0.336 0.158
Cd5 0.000 0.290 0.580
Cd6 0.000 0.857 0.715
Au1 0.500 0.133 0.266

---

A relaxed Tb6CdAu crystal. Source: Alexandria via LeMat-Bulk, functional PBE.

## Properties
* electronic total energy: -4.183 eV/atom
* ρ: 9.3 g cm⁻³
* spin magnetization: 0.00 μB per cell
* space group: R-3 (148)

Cell: 8.339 8.346 6.107 Å, 46.86 46.90 64.56°
Element x y z (fractional)
Tb1 0.974 0.443 0.828
Tb2 0.756 0.025 0.777
Tb3 0.443 0.245 0.286
Tb4 0.244 0.975 0.223
Tb5 0.026 0.557 0.172
Tb6 0.557 0.755 0.714
Cd1 0.500 0.500 0.500
Au1 0.000 0.000 0.000

---

A relaxed TbThCdAu crystal. Source: Alexandria via LeMat-Bulk, functional PBE.

## Properties
* electronic total energy: -4.440 eV/atom
* ρ: 11.1 g cm⁻³
* spin magnetization: 0.79 μB per cell
* space group: F-43m (216)

Cell: 5.289 5.289 5.289 Å, 60.00 60.00 60.00°
Each line ends with the local moment (μB).
Element x y z (fractional)
Tb1 0.500 0.500 0.500  0.24
Au1 0.250 0.250 0.250  0.04
Th1 0.000 0.000 0.000  0.21
Cd1 0.750 0.750 0.750  0.01

---

A relaxed Tb4Tl2CdAu crystal. Source: Alexandria via LeMat-Bulk, functional PBE.

## Properties
* electronic total energy: -3.894 eV/atom
* ρ: 10.7 g cm⁻³
* spin magnetization: 0.01 μB per cell
* space group: R-3m (166)

Cell: 5.310 5.310 9.162 Å, 73.16 73.16 60.00°
Element x y z (fractional)
Tb1 0.381 0.381 0.857
Tb2 0.870 0.870 0.390
Tb3 0.130 0.130 0.610
Tb4 0.619 0.619 0.143
Tl1 0.745 0.745 0.766
Tl2 0.255 0.255 0.234
Cd1 0.000 0.000 0.000
Au1 0.500 0.500 0.500

---

A relaxed TbYCdAu crystal. Source: Alexandria via LeMat-Bulk, functional PBE.

## Properties
* energy above the most stable polymorph in this dataset: 0.118 eV per formula unit
* ρ: 9.3 g cm⁻³
* spin magnetization: 0.00 μB per cell
* space group: F-43m (216)

Cell: 5.201 5.201 5.201 Å, 60.00 60.00 60.00°
Element x y z (fractional)
Y1 0.750 0.750 0.750
Tb1 0.250 0.250 0.250
Au1 0.500 0.500 0.500
Cd1 0.000 0.000 0.000

---

A relaxed TbYCdAu crystal. Source: Alexandria via LeMat-Bulk, functional PBE.

## Properties
* energy above the most stable polymorph in this dataset: 0.000 eV per formula unit
* ρ: 9.3 g cm⁻³
* spin magnetization: 0.00 μB per cell
* space group: P4mm (99)

Cell: 3.689 3.689 7.318 Å, 90.00 90.00 90.00°
Element x y z (fractional)
Tb1 0.500 0.500 0.121
Y1 0.500 0.500 0.595
Cd1 0.000 0.000 0.857
Au1 0.000 0.000 0.356

---

A relaxed TbZnCdAu crystal. Source: Alexandria via LeMat-Bulk, functional PBE.

## Properties
* electronic total energy: -3.029 eV/atom
* ρ: 10.7 g cm⁻³
* spin magnetization: 0.00 μB per cell
* space group: F-43m (216)

Cell: 4.885 4.885 4.885 Å, 60.00 60.00 60.00°
Element x y z (fractional)
Tb1 0.250 0.250 0.250
Zn1 0.000 0.000 0.000
Au1 0.500 0.500 0.500
Cd1 0.750 0.750 0.750

---

A relaxed Tb2Zn3CdAu4 crystal. Source: Alexandria via LeMat-Bulk, functional PBE.

## Properties
* electronic total energy: -3.181 eV/atom
* ρ: 11.4 g cm⁻³
* spin magnetization: 0.00 μB per cell
* space group: P-4m2 (115)

Cell: 4.137 4.137 12.015 Å, 90.00 90.00 90.00°
Element x y z (fractional)
Tb1 0.500 0.000 0.239
Tb2 0.000 0.500 0.761
Zn1 0.000 0.000 0.500
Zn2 0.500 0.000 0.866
Zn3 0.000 0.500 0.134
Cd1 0.500 0.500 0.500
Au1 0.500 0.500 0.000
Au2 0.000 0.000 0.000
Au3 0.500 0.000 0.657
Au4 0.000 0.500 0.343

---

A relaxed TbZrCdAu crystal. Source: Alexandria via LeMat-Bulk, functional PBE.

## Properties
* electronic total energy: -4.675 eV/atom
* ρ: 10.1 g cm⁻³
* spin magnetization: 1.07 μB per cell
* space group: F-43m (216)

Cell: 5.066 5.066 5.066 Å, 60.00 60.00 60.00°
Each line ends with the local moment (μB).
Element x y z (fractional)
Tb1 0.500 0.500 0.500  0.20
Au1 0.750 0.750 0.750  0.04
Zr1 0.000 0.000 0.000  0.49
Cd1 0.250 0.250 0.250  0.01

---

A relaxed CdTc2Au crystal. Source: Alexandria via LeMat-Bulk, functional PBE.

## Properties
* electronic total energy: -6.007 eV/atom
* ρ: 12.4 g cm⁻³
* spin magnetization: 0.00 μB per cell
* space group: Pm (6)

Cell: 3.842 2.918 6.645 Å, 65.80 90.00 90.00°
Element x y z (fractional)
Au1 0.000 0.499 0.495
Cd1 0.500 0.760 0.749
Tc1 0.000 0.997 0.041
Tc2 0.500 0.244 0.215